Here is an optimized crystal structure of SrSc2Ag from Alexandria via LeMat-Bulk. Energies are from GGA-PBE.

```
SrSc2Ag
1.0
3.618 0.000 0.000
0.000 3.618 0.000
0.000 0.000 8.435
Sr Sc Ag
1 2 1
direct
0.000 0.000 0.000 Sr
0.000 0.000 0.440 Sc
0.500 0.500 0.665 Sc
0.500 0.500 0.269 Ag
```

Summary:
Distance to the lowest polymorph of the same formula   0.0000 eV per atom
Total DFT energy (no corrections)   -4.303 eV per atom
ΔE_f   -0.004 eV per atom
Mass density   4.29 Mg/m³